[1]
Entry from the Alexandria database: a PBEsol-optimized structure of Ho3Si13Os4 (SCAN).

POSCAR file:
```
Ho3Si13Os4
1.0
8.7157 0.0000 0.0000
0.0000 8.7157 0.0000
0.0000 0.0000 8.7157
Ho Si Os
6 26 8
direct
0.0000 0.5000 0.7500
0.5000 0.2500 0.0000
0.7500 0.0000 0.5000
0.0000 0.5000 0.2500
0.5000 0.7500 0.0000
0.2500 0.0000 0.5000
0.5000 0.5000 0.5000
0.0000 0.0000 0.0000
0.7829 0.3610 0.5000
0.6390 0.5000 0.7829
0.5000 0.2171 0.6390
0.2171 0.6390 0.5000
0.3610 0.5000 0.2171
0.5000 0.7829 0.3610
0.7829 0.6390 0.5000
0.6390 0.5000 0.2171
0.2171 0.3610 0.5000
0.3610 0.5000 0.7829
0.5000 0.7829 0.6390
0.5000 0.2171 0.3610
0.2829 0.0000 0.8610
0.1390 0.2829 0.0000
0.0000 0.1390 0.7171
0.7171 0.0000 0.1390
0.8610 0.7171 0.0000
0.0000 0.8610 0.2829
0.2829 0.0000 0.1390
0.1390 0.7171 0.0000
0.7171 0.0000 0.8610
0.8610 0.2829 0.0000
0.0000 0.1390 0.2829
0.0000 0.8610 0.7171
0.7500 0.2500 0.7500
0.2500 0.7500 0.2500
0.7500 0.7500 0.2500
0.2500 0.2500 0.7500
0.2500 0.7500 0.7500
0.7500 0.2500 0.2500
0.2500 0.2500 0.2500
0.7500 0.7500 0.7500
```

Properties
Its space group is Pm-3n, No. 223. As for the uncorrected formation energy: -486.8 meV per atom. For the electronic total energy, the calculation gives -28.7213 eV/atom.

=====

[2]
Entry from the Alexandria database: a PBEsol-optimized structure of Sc5BRh15 (SCAN).

POSCAR file:
```
Sc5BRh15
1.0
3.9556 0.0000 0.0000
0.0000 3.9556 0.0000
0.0000 0.0000 19.1178
Sc B Rh
5 1 15
direct
0.0000 0.0000 0.8949
0.0000 0.0000 0.1051
0.0000 0.0000 0.3016
0.0000 0.0000 0.5000
0.0000 0.0000 0.6984
0.5000 0.5000 0.0000
0.5000 0.5000 0.8918
0.5000 0.5000 0.1082
0.5000 0.5000 0.3043
0.5000 0.5000 0.5000
0.5000 0.5000 0.6957
0.5000 0.0000 0.0000
0.5000 0.0000 0.2043
0.5000 0.0000 0.4017
0.5000 0.0000 0.5983
0.5000 0.0000 0.7957
0.0000 0.5000 0.0000
0.0000 0.5000 0.2043
0.0000 0.5000 0.4017
0.0000 0.5000 0.5983
0.0000 0.5000 0.7957
```

Properties
Its space group is P4/mmm, No. 123. For the electronic total energy, the calculation gives -28.5791 eV/atom. Its formation energy is -14.973 eV/f.u.

=====

Magnetic moment / μB per formula unit: 0.00; 0.00